No. 1
DFT (GGA-PBE) results for Rb5AsCl2O4 after structural relaxation.

Its space group is Amm2. The electronic total energy is -53.29 eV for the cell shown.

Lattice parameters (Å, degrees): 6.9204 6.2851 8.7940 90.00 90.00 123.40
Last column: nearest neighbours and their distance in Å.
Sites, in units of the cell vectors:
1 Rb 0.0787 0.3650 0.2043  3 O 2.81-3.11
2 Rb 0.4872 0.0000 0.5000  2 O 3.03, 4 Cl 3.15-3.30
3 Rb 0.0787 0.3650 0.7957  3 O 2.81-3.11
4 Rb 0.7137 0.6350 0.7957  3 O 2.81-3.11
5 Rb 0.7137 0.6350 0.2043  3 O 2.81-3.11
6 As 0.4029 0.0000 0.0000  4 O 1.74-1.75
7 Cl 0.9501 0.5881 0.5000  6 Rb 3.15-3.30
8 Cl 0.3620 0.4119 0.5000  6 Rb 3.15-3.30
9 O 0.5542 0.0000 0.1592  1 As 1.75
10 O 0.5542 0.0000 0.8408  1 As 1.75
11 O 0.3892 0.2683 0.0000  1 As 1.74
12 O 0.1208 0.7317 0.0000  1 As 1.74

No. 2
DFT (GGA-PBE) results for Pa2IrC after structural relaxation.

Its space group is P4/mmm. As for the energy relative to the elements: -0.2801 eV/atom. The excess energy over the best structure of this formula in the dataset comes out at 210 meV per atom.

Lattice parameters (Å, degrees): 3.0303 3.0303 7.2937 90.00 90.00 90.00
Last column: nearest neighbours and their distance in Å.
Sites, in units of the cell vectors:
1 C 0.5000 0.5000 0.0000  8 Pa 2.62
2 Pa 0.0000 0.0000 0.7923  4 C 2.62
3 Pa 0.0000 0.0000 0.2077  4 C 2.62
4 Ir 0.5000 0.5000 0.5000  8 Pa 3.02, 4 Ir 3.03

No. 3
DFT (GGA-PBE) results for Pm2Cd3Au after structural relaxation.

Its space group is Pmm2. As for the energy relative to the elements: -0.4578 eV/atom.

Lattice parameters (Å, degrees): 3.4903 4.9688 8.6030 90.00 90.00 90.00
Last column: nearest neighbours and their distance in Å.
Sites, in units of the cell vectors:
1 Pm 0.0000 0.5000 0.0192  2 Au 3.23, 10 Cd 3.28-3.49, 2 Pm 3.49
2 Pm 0.0000 0.0000 0.4836  8 Cd 3.25-3.45, 4 Au 3.29, 2 Pm 3.49
3 Cd 0.5000 0.0000 0.8299  3 Cd 2.85-2.88
4 Cd 0.5000 0.0000 0.1642  1 Cd 2.88, 2 Au 2.89
5 Cd 0.5000 0.5000 0.6679  2 Cd 2.85, 1 Au 2.86
6 Au 0.5000 0.5000 0.3352  3 Cd 2.86-2.89